1.
This record from the Alexandria database describes a geometry-optimized Nd2TlCl structure. The functional is PBE-GGA.

Lattice parameters (Å, degrees): 3.5680 3.5680 8.3677 90.00 90.00 90.00
Positions (direct):
Nd1 0.0000 0.0000 0.2446
Nd2 0.0000 0.0000 0.7554
Tl1 0.5000 0.5000 0.5000
Cl1 0.5000 0.5000 0.0000

Values from the calculation:
- Formation energy (no corrections): -3.24 eV/f.u.
- Space group: P4/mmm (123)
- Raw total energy: -4.25 eV/atom
- Density: 8.24 g/cm³
- D(E_F): 3.54 states/eV/cell
- Total moment: 0.000 μB per atom
- Relative energy among the computed polymorphs: 37 meV per atom
- Volume: 106.5 Å³ per cell


2.
This record from the Alexandria database describes a geometry-optimized NdTl4Cl7 structure. The functional is PBE-GGA.

Lattice parameters (Å, degrees): 11.2330 11.2330 7.6144 107.49 107.49 27.84
Positions (direct):
Nd1 0.0000 0.0000 0.0000
Tl1 0.2984 0.2984 0.7561
Tl2 0.4127 0.4127 0.3690
Tl3 0.5873 0.5873 0.6310
Tl4 0.7016 0.7016 0.2439
Cl1 0.0759 0.0759 0.3604
Cl2 0.1104 0.1104 0.8979
Cl3 0.2775 0.2775 0.3421
Cl4 0.5000 0.5000 0.0000
Cl5 0.7225 0.7225 0.6579
Cl6 0.8896 0.8896 0.1021
Cl7 0.9241 0.9241 0.6396

Values from the calculation:
- Formation energy (no corrections): -16.96 eV/f.u.
- Space group: C2/m (12)
- Raw total energy: -3.68 eV/atom
- Density: 4.71 g/cm³
- D(E_F): 0.00 states/eV/cell
- Total moment: 0.000 μB per atom
- Volume: 426.7 Å³ per cell


3.
This record from the Alexandria database describes a geometry-optimized Nd3TlCl structure. The functional is PBE-GGA.

Lattice parameters (Å, degrees): 9.4203 4.1487 15.1596 90.00 90.00 90.00
Positions (direct):
Nd1 0.0218 0.2500 0.1089
Nd2 0.1556 0.2500 0.5168
Nd3 0.1881 0.7500 0.2826
Nd4 0.3119 0.2500 0.7826
Nd5 0.3444 0.7500 0.0168
Nd6 0.4782 0.7500 0.6089
Nd7 0.5218 0.2500 0.3911
Nd8 0.6556 0.2500 0.9832
Nd9 0.6881 0.7500 0.2174
Nd10 0.8119 0.2500 0.7174
Nd11 0.8444 0.7500 0.4832
Nd12 0.9782 0.7500 0.8911
Tl1 0.0815 0.7500 0.6784
Tl2 0.4185 0.2500 0.1784
Tl3 0.5815 0.7500 0.8216
Tl4 0.9185 0.2500 0.3216
Cl1 0.1710 0.2500 0.9454
Cl2 0.3290 0.7500 0.4454
Cl3 0.6710 0.2500 0.5546
Cl4 0.8290 0.7500 0.0546

Values from the calculation:
- Formation energy (no corrections): -3.71 eV/f.u.
- Space group: Pnma (62)
- Raw total energy: -4.45 eV/atom
- Density: 7.54 g/cm³
- D(E_F): 19.49 states/eV/cell
- Total moment: 0.105 μB per atom
- Relative energy among the computed polymorphs: 0 meV per atom
- Volume: 592.5 Å³ per cell


4.
This record from the Alexandria database describes a geometry-optimized NdTl2Cl6 structure. The functional is PBE-GGA.

Lattice parameters (Å, degrees): 4.3070 7.9864 7.9864 120.37 90.00 90.00
Positions (direct):
Nd1 0.0000 0.0000 0.0000
Tl1 0.5000 0.3324 0.6656
Tl2 0.5000 0.6656 0.3324
Cl1 0.0000 0.0031 0.3821
Cl2 0.0000 0.3821 0.0031
Cl3 0.0000 0.6207 0.6207
Cl4 0.5000 0.0008 0.7593
Cl5 0.5000 0.2422 0.2422
Cl6 0.5000 0.7593 0.0008

Values from the calculation:
- Formation energy (no corrections): -12.74 eV/f.u.
- Space group: Amm2 (38)
- Raw total energy: -3.70 eV/atom
- Density: 5.36 g/cm³
- D(E_F): 7.97 states/eV/cell
- Total moment: 0.000 μB per atom
- Volume: 237.0 Å³ per cell


Please write out number 4 again, unchanged.
This record from the Alexandria database describes a geometry-optimized NdTl2Cl6 structure. The functional is PBE-GGA.

Lattice parameters (Å, degrees): 4.3070 7.9864 7.9864 120.37 90.00 90.00
Positions (direct):
Nd1 0.0000 0.0000 0.0000
Tl1 0.5000 0.3324 0.6656
Tl2 0.5000 0.6656 0.3324
Cl1 0.0000 0.0031 0.3821
Cl2 0.0000 0.3821 0.0031
Cl3 0.0000 0.6207 0.6207
Cl4 0.5000 0.0008 0.7593
Cl5 0.5000 0.2422 0.2422
Cl6 0.5000 0.7593 0.0008

Values from the calculation:
- Formation energy (no corrections): -12.74 eV/f.u.
- Space group: Amm2 (38)
- Raw total energy: -3.70 eV/atom
- Density: 5.36 g/cm³
- D(E_F): 7.97 states/eV/cell
- Total moment: 0.000 μB per atom
- Volume: 237.0 Å³ per cell


What is the D(E_F) in the first record? 3.54 states/eV/cell